[1]
{"formula": "Cr2PRh", "functional": "PBEsol", "state": "optimized geometry", "lattice": [[4.060, 0.000, 0.000], [2.030, 3.516, 0.000], [2.030, 1.172, 3.315]], "species": ["Rh", "Cr", "Cr", "P"], "fractional_positions": [[0.750, 0.750, 0.750], [0.000, 0.000, 0.000], [0.250, 0.250, 0.250], [0.500, 0.500, 0.500]], "e_tot_ev_per_cell": -35.02, "spacegroup": "F-43m, No. 216", "volume_a3_per_cell": 47, "delta_e_f_ev_per_atom": -0.153, "dos_at_fermi_per_ev_cell": 2.92}


[2]
{"formula": "Ba2CdFe", "functional": "PBEsol", "state": "optimized geometry", "lattice": [[3.816, 0.000, 0.000], [0.000, 5.582, 0.000], [-1.908, -2.791, 5.801]], "species": ["Ba", "Ba", "Cd", "Fe"], "fractional_positions": [[0.963, 0.963, 0.926], [0.771, 0.271, 0.541], [0.554, 0.554, 0.108], [0.212, 0.712, 0.425]], "e_tot_ev_per_cell": -13.02, "spacegroup": "Imm2, No. 44", "volume_a3_per_cell": 124, "delta_e_f_ev_per_atom": 0.360, "dos_at_fermi_per_ev_cell": 7.19}


[3]
{"formula": "BeInTe2", "functional": "PBEsol", "state": "optimized geometry", "lattice": [[-3.173, 0.044, 1.740], [-1.705, -1.352, -3.077], [3.608, -6.055, 2.969]], "species": ["Be", "In", "Te", "Te"], "fractional_positions": [[0.453, 0.453, 0.906], [0.199, 0.699, 0.397], [0.025, 0.025, 0.050], [0.823, 0.323, 0.647]], "e_tot_ev_per_cell": -13.51, "spacegroup": "Imm2, No. 44", "raw_formation_energy_kj_per_mol_fu": 51, "volume_a3_per_cell": 98, "relative_energy_mev_per_atom": 230.9, "dos_at_fermi_per_ev_cell": 1.53}


[4]
{"formula": "Y2ZnCu", "functional": "PBEsol", "state": "optimized geometry", "lattice": [[3.472, 0.000, 0.292], [0.000, 4.897, 0.000], [-0.410, 0.000, 4.883]], "species": ["Zn", "Cu", "Y", "Y"], "fractional_positions": [[0.375, 0.000, 0.381], [0.375, 0.500, 0.867], [0.875, 0.500, 0.374], [0.875, 0.000, 0.878]], "e_tot_ev_per_cell": -20.69, "spacegroup": "Pmm2, No. 25", "volume_a3_per_cell": 84, "delta_e_f_ev_per_atom": -0.284, "dos_at_fermi_per_ev_cell": 2.77}


[5]
{"formula": "NaLi2Ag", "functional": "PBEsol", "state": "optimized geometry", "lattice": [[-4.329, -0.950, 1.720], [-0.515, -1.350, 4.529], [-2.007, 2.946, 3.145]], "species": ["Na", "Ag", "Li", "Li"], "fractional_positions": [[0.000, 0.000, 0.000], [0.500, 0.500, 0.500], [0.750, 0.750, 0.750], [0.250, 0.250, 0.250]], "e_tot_ev_per_cell": -8.81, "spacegroup": "Fm-3m, No. 225", "volume_a3_per_cell": 76, "delta_e_f_ev_per_atom": -0.041, "dos_at_fermi_per_ev_cell": 1.27}


[6]
{"formula": "KTcPb2", "functional": "PBEsol", "state": "optimized geometry", "lattice": [[-1.691, 3.247, 0.524], [-2.709, -1.709, 1.848], [4.186, 1.035, 7.094]], "species": ["Tc", "Pb", "Pb", "K"], "fractional_positions": [[0.000, 0.000, 0.392], [0.000, 0.000, 0.053], [0.500, 0.500, 0.321], [0.500, 0.500, 0.734]], "e_tot_ev_per_cell": -18.12, "spacegroup": "P4mm, No. 99", "volume_a3_per_cell": 114, "delta_e_f_ev_per_atom": 0.569, "dos_at_fermi_per_ev_cell": 2.54}


[7]
{"formula": "Be2InAsCl", "functional": "PBEsol", "state": "optimized geometry", "lattice": [[-3.278, -2.161, -2.244], [-0.107, -3.178, 3.215], [-3.719, 2.847, 2.690]], "species": ["As", "Be", "Be", "Cl", "In"], "fractional_positions": [[0.500, 0.500, 0.500], [0.500, 0.000, 0.000], [0.000, 0.500, 0.000], [0.000, 0.000, 0.500], [0.000, 0.000, 0.000]], "e_tot_ev_per_cell": -13.01, "spacegroup": "P4/mmm, No. 123", "raw_formation_energy_kj_per_mol_fu": 491, "volume_a3_per_cell": 110, "dos_at_fermi_per_ev_cell": 2.71}


[8]
{"formula": "SbTePd2", "functional": "PBEsol", "state": "optimized geometry", "lattice": [[4.127, 0.000, 0.000], [-2.063, 3.574, 0.000], [0.000, 0.000, 5.589]], "species": ["Pd", "Pd", "Sb", "Te"], "fractional_positions": [[0.333, 0.667, 0.246], [0.333, 0.667, 0.754], [0.000, 0.000, 0.000], [0.667, 0.333, 0.500]], "e_tot_ev_per_cell": -21.72, "spacegroup": "P-6m2, No. 187", "raw_formation_energy_kj_per_mol_fu": -166, "volume_a3_per_cell": 82, "dos_at_fermi_per_ev_cell": 2.06}


[9]
{"formula": "Tl2PbBr", "functional": "PBEsol", "state": "optimized geometry", "lattice": [[-2.978, -3.102, -1.575], [2.253, -3.300, 2.238], [-2.858, 4.028, 4.130]], "species": ["Br", "Tl", "Tl", "Pb"], "fractional_positions": [[0.500, 0.500, 0.000], [0.750, 0.250, 0.500], [0.250, 0.750, 0.500], [0.000, 0.000, 0.000]], "e_tot_ev_per_cell": -11.73, "spacegroup": "I4/mmm, No. 139", "raw_formation_energy_kj_per_mol_fu": -58, "volume_a3_per_cell": 117, "relative_energy_mev_per_atom": 62.2, "dos_at_fermi_per_ev_cell": 2.17}


[10]
{"formula": "Li2ZrTc", "functional": "PBEsol", "state": "optimized geometry", "lattice": [[-3.061, -0.963, -0.213], [0.628, -0.968, -4.645], [2.336, -2.801, 3.366]], "species": ["Li", "Li", "Tc", "Zr"], "fractional_positions": [[0.978, 0.978, 0.955], [0.257, 0.757, 0.513], [0.506, 0.506, 0.013], [0.759, 0.259, 0.518]], "e_tot_ev_per_cell": -22.91, "spacegroup": "Imm2, No. 44", "volume_a3_per_cell": 62, "delta_e_f_ev_per_atom": 0.344, "relative_energy_mev_per_atom": 194.3, "dos_at_fermi_per_ev_cell": 3.13}


[11]
{"formula": "YAuCl2", "functional": "PBEsol", "state": "optimized geometry", "lattice": [[3.560, 0.000, 0.000], [0.000, 3.560, 0.000], [0.000, 0.000, 7.184]], "species": ["Au", "Y", "Cl", "Cl"], "fractional_positions": [[0.500, 0.500, 0.741], [0.000, 0.000, 0.538], [0.500, 0.500, 0.299], [0.000, 0.000, 0.921]], "e_tot_ev_per_cell": -19.64, "spacegroup": "P4mm, No. 99", "raw_formation_energy_kj_per_mol_fu": -471, "volume_a3_per_cell": 91, "relative_energy_mev_per_atom": 0.0}


[12]
{"formula": "Ag3TeOs", "functional": "PBEsol", "state": "optimized geometry", "lattice": [[-3.753, -3.381, 0.038], [1.710, -1.947, -4.336], [2.917, -3.208, 2.591]], "species": ["Ag", "Ag", "Ag", "Os", "Te"], "fractional_positions": [[0.000, 0.000, 0.500], [0.500, 0.000, 0.000], [0.000, 0.500, 0.000], [0.500, 0.500, 0.500], [0.000, 0.000, 0.000]], "e_tot_ev_per_cell": -16.57, "spacegroup": "Pm-3m, No. 221", "raw_formation_energy_kj_per_mol_fu": 879, "volume_a3_per_cell": 129, "dos_at_fermi_per_ev_cell": 4.85}


[13]
{"formula": "SiAgSe2", "functional": "PBEsol", "state": "optimized geometry", "lattice": [[-0.496, -0.160, -2.691], [-0.454, -3.686, 0.303], [-7.069, 1.067, 2.380]], "species": ["Se", "Se", "Ag", "Si"], "fractional_positions": [[0.895, 0.000, 0.259], [0.105, 0.000, 0.741], [0.000, 0.500, 0.000], [0.000, 0.500, 0.500]], "e_tot_ev_per_cell": -16.65, "spacegroup": "P2/m, No. 10", "raw_formation_energy_kj_per_mol_fu": 10, "volume_a3_per_cell": 76, "dos_at_fermi_per_ev_cell": 1.08}


[14]
{"formula": "K3Sb", "functional": "PBEsol", "state": "optimized geometry", "lattice": [[-3.662, -4.537, 1.055], [0.229, -2.847, 5.192], [-4.414, 0.602, 3.907]], "species": ["Sb", "K", "K", "K"], "fractional_positions": [[0.000, 0.000, 0.000], [0.750, 0.750, 0.750], [0.250, 0.250, 0.250], [0.500, 0.500, 0.500]], "e_tot_ev_per_cell": -9.51, "spacegroup": "Fm-3m, No. 225", "raw_formation_energy_kj_per_mol_fu": -150, "volume_a3_per_cell": 147, "relative_energy_mev_per_atom": 22.5}


[15]
{"formula": "Si2SnO6", "functional": "PBEsol", "state": "optimized geometry", "lattice": [[5.375, 0.001, 0.001], [1.627, 6.403, 0.001], [1.627, 0.162, 6.401]], "species": ["Si", "Si", "Si", "Si", "Sn", "Sn", "O", "O", "O", "O", "O", "O", "O", "O", "O", "O", "O", "O"], "fractional_positions": [[0.260, 0.615, 0.782], [0.740, 0.385, 0.218], [0.240, 0.218, 0.385], [0.760, 0.782, 0.615], [0.250, 0.109, 0.891], [0.750, 0.891, 0.109], [0.854, 0.188, 0.050], [0.037, 0.635, 0.649], [0.697, 0.607, 0.095], [0.963, 0.365, 0.351], [0.537, 0.649, 0.635], [0.303, 0.393, 0.905], [0.646, 0.950, 0.812], [0.803, 0.905, 0.393], [0.146, 0.812, 0.950], [0.463, 0.351, 0.365], [0.197, 0.095, 0.607], [0.354, 0.050, 0.188]], "e_tot_ev_per_cell": -137.41, "spacegroup": "C2/c, No. 15", "raw_formation_energy_kj_per_mol_fu": -2070, "volume_a3_per_cell": 220, "dos_at_fermi_per_ev_cell": 0.00}


[16]
{"formula": "Co5Re", "functional": "PBEsol", "state": "optimized geometry", "lattice": [[-3.754, -1.189, 0.627], [0.417, -2.959, -3.116], [0.999, -1.004, 4.079]], "species": ["Co", "Co", "Co", "Co", "Co", "Re"], "fractional_positions": [[0.000, 0.344, 0.344], [0.000, 0.656, 0.000], [0.000, 0.000, 0.656], [0.500, 0.333, 0.667], [0.500, 0.667, 0.333], [0.500, 0.000, 0.000]], "e_tot_ev_per_cell": -52.02, "spacegroup": "P-62m, No. 189", "volume_a3_per_cell": 64, "delta_e_f_ev_per_atom": -0.001, "relative_energy_mev_per_atom": 0.0, "dos_at_fermi_per_ev_cell": 6.97}


[17]
{"formula": "BeInRh2", "functional": "PBEsol", "state": "optimized geometry", "lattice": [[-1.316, 1.741, -1.980], [0.738, -1.881, -2.144], [-5.280, -3.033, 0.843]], "species": ["Be", "Rh", "Rh", "In"], "fractional_positions": [[0.500, 0.500, 0.000], [0.000, 0.000, 0.785], [0.000, 0.000, 0.215], [0.500, 0.500, 0.500]], "e_tot_ev_per_cell": -25.03, "spacegroup": "P4/mmm, No. 123", "volume_a3_per_cell": 53, "delta_e_f_ev_per_atom": -0.444, "dos_at_fermi_per_ev_cell": 1.13}


[18]
{"formula": "HfAuNF2", "functional": "PBEsol", "state": "optimized geometry", "lattice": [[4.042, 0.000, 0.000], [0.000, 4.042, 0.000], [0.000, 0.000, 4.216]], "species": ["Hf", "F", "F", "N", "Au"], "fractional_positions": [[0.000, 0.000, 0.500], [0.000, 0.500, 0.000], [0.500, 0.000, 0.000], [0.000, 0.000, 0.000], [0.500, 0.500, 0.500]], "e_tot_ev_per_cell": -28.02, "spacegroup": "P4/mmm, No. 123", "raw_formation_energy_kj_per_mol_fu": -117, "volume_a3_per_cell": 69, "dos_at_fermi_per_ev_cell": 1.68}


[19]
{"formula": "NiSbP4", "functional": "PBEsol", "state": "optimized geometry", "lattice": [[-2.063, 4.000, 2.366], [-3.678, 2.677, -2.270], [-4.772, -0.256, 1.736]], "species": ["Sb", "P", "P", "P", "P", "Ni"], "fractional_positions": [[0.750, 0.750, 0.750], [0.371, 0.371, 0.888], [0.371, 0.371, 0.371], [0.371, 0.888, 0.371], [0.888, 0.371, 0.371], [0.000, 0.000, 0.000]], "e_tot_ev_per_cell": -29.84, "spacegroup": "F-43m, No. 216", "raw_formation_energy_kj_per_mol_fu": 390, "volume_a3_per_cell": 93, "dos_at_fermi_per_ev_cell": 2.51}


[20]
{"formula": "FeTcRu2", "functional": "PBEsol", "state": "optimized geometry", "lattice": [[2.645, 0.000, 0.000], [0.000, 4.014, 0.000], [-1.322, 0.000, 4.812]], "species": ["Ru", "Ru", "Tc", "Fe"], "fractional_positions": [[0.301, 0.500, 0.602], [0.957, 0.000, 0.914], [0.689, 0.000, 0.378], [0.561, 0.500, 0.121]], "e_tot_ev_per_cell": -40.14, "spacegroup": "Amm2, No. 38", "volume_a3_per_cell": 51, "delta_e_f_ev_per_atom": 0.109, "relative_energy_mev_per_atom": 0.0, "dos_at_fermi_per_ev_cell": 4.10}